Compound: Li2ScIn
Source: Alexandria
Functional: PBEsol
Structure: optimized geometry

Summary:
- volume (Å³ per cell) = 82
- symmetry = No. 47
- final energy (eV per atom) = -3.555
- energy of formation (eV per formula unit) = -0.70
- total magnetic moment (μB per formula unit) = 0.35
- N(E_F) (states/eV/atom) = 0.8686

Lattice parameters (Å, degrees): 3.495 4.784 4.896 90.00 90.00 90.00
Fractional positions:
Li: 0.000 0.000 0.000
Li: 0.500 0.500 0.000
Sc: 0.000 0.500 0.500
In: 0.500 0.000 0.500

***

Compound: BeZn2Re
Source: Alexandria
Functional: PBEsol
Structure: optimized geometry

Summary:
- volume (Å³ per cell) = 199
- symmetry = No. 216
- final energy (eV per atom) = -4.734
- energy of formation (eV per formula unit) = 1.56
- total magnetic moment (μB per formula unit) = 0.00
- N(E_F) (states/eV/atom) = 0.8798

Lattice parameters (Å, degrees): 5.837 5.837 5.837 90.00 90.00 90.00
Fractional positions:
Be: 0.000 0.000 0.000
Be: 0.000 0.500 0.500
Be: 0.500 0.000 0.500
Be: 0.500 0.500 0.000
Zn: 0.000 0.000 0.500
Zn: 0.000 0.500 0.000
Zn: 0.250 0.250 0.250
Zn: 0.250 0.750 0.750
Zn: 0.500 0.000 0.000
Zn: 0.500 0.500 0.500
Zn: 0.750 0.250 0.750
Zn: 0.750 0.750 0.250
Re: 0.250 0.250 0.750
Re: 0.250 0.750 0.250
Re: 0.750 0.250 0.250
Re: 0.750 0.750 0.750

***

Compound: Sr3CdC
Source: Alexandria
Functional: PBEsol
Structure: optimized geometry

Summary:
- volume (Å³ per cell) = 232
- symmetry = No. 221
- final energy (eV per atom) = -1.957
- energy of formation (eV per formula unit) = 6.58
- total magnetic moment (μB per formula unit) = 2.71
- N(E_F) (states/eV/atom) = 0.6327

Lattice parameters (Å, degrees): 6.148 6.148 6.148 90.00 90.00 90.00
Fractional positions:
Sr: 0.000 0.000 0.500
Sr: 0.000 0.500 0.000
Sr: 0.500 0.000 0.000
Cd: 0.000 0.000 0.000
C: 0.500 0.500 0.500

***

Compound: CaYIn2
Source: Alexandria
Functional: PBEsol
Structure: optimized geometry

Summary:
- volume (Å³ per cell) = 105
- symmetry = No. 123
- final energy (eV per atom) = -4.262
- energy of formation (eV per formula unit) = -2.13
- total magnetic moment (μB per formula unit) = 0.00
- N(E_F) (states/eV/atom) = 0.5724

Lattice parameters (Å, degrees): 3.704 3.704 7.627 90.00 90.00 90.00
Fractional positions:
Ca: 0.000 0.000 0.000
Y: 0.000 0.000 0.500
In: 0.500 0.500 0.255
In: 0.500 0.500 0.745

***

Compound: CaIrSe2
Source: Alexandria
Functional: PBEsol
Structure: optimized geometry

Summary:
- volume (Å³ per cell) = 149
- uncorrected formation energy (meV per atom) = -257
- symmetry = No. 119
- final energy (eV per atom) = -5.171
- total magnetic moment (μB per formula unit) = 0.00
- N(E_F) (states/eV/atom) = 0.7220
- energy above the lowest structure with this stoichiometry (kcal/mol of atoms) = 11.171

Lattice parameters (Å, degrees): 3.880 3.880 9.903 90.00 90.00 90.00
Fractional positions:
Ca: 0.000 0.000 0.000
Ca: 0.500 0.500 0.500
Ir: 0.000 0.500 0.250
Ir: 0.500 0.000 0.750
Se: 0.000 0.000 0.500
Se: 0.000 0.500 0.750
Se: 0.500 0.000 0.250
Se: 0.500 0.500 0.000

***

Compound: Y2TaNiBi
Source: Alexandria
Functional: PBEsol
Structure: optimized geometry

Summary:
- volume (Å³ per cell) = 121
- symmetry = No. 123
- final energy (eV per atom) = -6.847
- energy of formation (eV per formula unit) = 2.40
- total magnetic moment (μB per formula unit) = 1.58
- N(E_F) (states/eV/atom) = 1.0734

Lattice parameters (Å, degrees): 5.053 5.053 4.751 90.00 90.00 90.00
Fractional positions:
Y: 0.000 0.500 0.000
Y: 0.500 0.000 0.000
Ta: 0.000 0.000 0.500
Ni: 0.500 0.500 0.000
Bi: 0.500 0.500 0.500

***

Compound: Lu3O2F5
Source: Alexandria
Functional: PBEsol
Structure: optimized geometry

Summary:
- volume (Å³ per cell) = 469
- uncorrected formation energy (meV per atom) = -4119
- symmetry = No. 62
- final energy (eV per atom) = -7.594
- total magnetic moment (μB per formula unit) = 0.00
- N(E_F) (states/eV/atom) = 0.0000

Lattice parameters (Å, degrees): 5.444 16.645 5.180 90.00 90.00 90.00
Fractional positions:
Lu: 0.171 0.097 0.039
Lu: 0.171 0.403 0.039
Lu: 0.237 0.250 0.457
Lu: 0.263 0.750 0.957
Lu: 0.329 0.597 0.539
Lu: 0.329 0.903 0.539
Lu: 0.671 0.097 0.461
Lu: 0.671 0.403 0.461
Lu: 0.737 0.250 0.043
Lu: 0.763 0.750 0.543
Lu: 0.829 0.597 0.961
Lu: 0.829 0.903 0.961
O: 0.040 0.669 0.702
O: 0.040 0.831 0.702
O: 0.460 0.169 0.202
O: 0.460 0.331 0.202
O: 0.540 0.669 0.798
O: 0.540 0.831 0.798
O: 0.960 0.169 0.298
O: 0.960 0.331 0.298
F: 0.109 0.250 0.858
F: 0.120 0.514 0.786
F: 0.120 0.986 0.786
F: 0.166 0.625 0.175
F: 0.166 0.875 0.175
F: 0.334 0.125 0.675
F: 0.334 0.375 0.675
F: 0.380 0.014 0.286
F: 0.380 0.486 0.286
F: 0.391 0.750 0.358
F: 0.609 0.250 0.642
F: 0.620 0.514 0.714
F: 0.620 0.986 0.714
F: 0.666 0.625 0.325
F: 0.666 0.875 0.325
F: 0.834 0.125 0.825
F: 0.834 0.375 0.825
F: 0.880 0.014 0.214
F: 0.880 0.486 0.214
F: 0.891 0.750 0.142

***

Compound: BePt
Source: Alexandria
Functional: PBEsol
Structure: optimized geometry

Summary:
- volume (Å³ per cell) = 24
- symmetry = No. 187
- final energy (eV per atom) = -6.019
- energy of formation (eV per formula unit) = -1.07
- total magnetic moment (μB per formula unit) = 0.00
- N(E_F) (states/eV/atom) = 0.3271

Lattice parameters (Å, degrees): 2.832 2.832 3.412 90.00 90.00 120.00
Fractional positions:
Be: 0.000 0.000 0.000
Pt: 0.667 0.333 0.500

***

Compound: Sb4Rh3
Source: Alexandria
Functional: PBEsol
Structure: optimized geometry

Summary:
- volume (Å³ per cell) = 137
- uncorrected formation energy (meV per atom) = 257
- symmetry = No. 191
- final energy (eV per atom) = -5.835
- total magnetic moment (μB per formula unit) = 0.00
- N(E_F) (states/eV/atom) = 1.3213

Lattice parameters (Å, degrees): 5.367 5.367 5.481 90.00 90.00 120.00
Fractional positions:
Sb: 0.000 0.000 0.243
Sb: 0.000 0.000 0.757
Sb: 0.333 0.667 0.500
Sb: 0.667 0.333 0.500
Rh: 0.000 0.500 0.000
Rh: 0.500 0.000 0.000
Rh: 0.500 0.500 0.000

***

Compound: IrCl3
Source: Alexandria
Functional: PBEsol
Structure: optimized geometry

Summary:
- volume (Å³ per cell) = 80
- uncorrected formation energy (meV per atom) = 336
- symmetry = No. 25
- final energy (eV per atom) = -3.626
- total magnetic moment (μB per formula unit) = 0.00
- N(E_F) (states/eV/atom) = 0.6984

Lattice parameters (Å, degrees): 2.788 3.382 8.492 90.00 90.00 90.00
Fractional positions:
Ir: 0.000 0.000 0.000
Cl: 0.000 0.500 0.826
Cl: 0.500 0.000 0.545
Cl: 0.500 0.500 0.180

***

Compound: AlHg2W
Source: Alexandria
Functional: PBEsol
Structure: optimized geometry

Summary:
- volume (Å³ per cell) = 142
- symmetry = No. 65
- final energy (eV per atom) = -4.277
- energy of formation (eV per formula unit) = 1.92
- total magnetic moment (μB per formula unit) = 0.00
- N(E_F) (states/eV/atom) = 0.5598

Lattice parameters (Å, degrees): 5.619 8.596 2.935 90.00 90.00 90.00
Fractional positions:
Al: 0.000 0.000 0.000
Al: 0.500 0.500 0.000
Hg: 0.250 0.250 0.500
Hg: 0.250 0.750 0.500
Hg: 0.750 0.250 0.500
Hg: 0.750 0.750 0.500
W: 0.000 0.500 0.000
W: 0.500 0.000 0.000

***

Compound: ScCo2Ru
Source: Alexandria
Functional: PBEsol
Structure: optimized geometry

Summary:
- volume (Å³ per cell) = 54
- symmetry = No. 99
- final energy (eV per atom) = -8.053
- energy of formation (eV per formula unit) = 0.04
- total magnetic moment (μB per formula unit) = 3.67
- N(E_F) (states/eV/atom) = 1.2838

Lattice parameters (Å, degrees): 3.022 3.022 5.870 90.00 90.00 90.00
Fractional positions:
Sc: 0.000 0.000 0.000
Co: 0.000 0.000 0.481
Co: 0.500 0.500 0.281
Ru: 0.500 0.500 0.717

***

Compound: Ca2MgSi
Source: Alexandria
Functional: PBEsol
Structure: optimized geometry

Summary:
- volume (Å³ per cell) = 457
- uncorrected formation energy (meV per atom) = 296
- symmetry = No. 122
- final energy (eV per atom) = -2.636
- total magnetic moment (μB per formula unit) = 0.00
- N(E_F) (states/eV/atom) = 0.8613

Lattice parameters (Å, degrees): 4.677 4.677 20.888 90.00 90.00 90.00
Fractional positions:
Ca: 0.226 0.250 0.125
Ca: 0.250 0.726 0.375
Ca: 0.250 0.774 0.875
Ca: 0.274 0.250 0.625
Ca: 0.726 0.750 0.625
Ca: 0.750 0.226 0.875
Ca: 0.750 0.274 0.375
Ca: 0.774 0.750 0.125
Mg: 0.000 0.000 0.500
Mg: 0.000 0.500 0.750
Mg: 0.500 0.000 0.250
Mg: 0.500 0.500 0.000
Si: 0.000 0.000 0.000
Si: 0.000 0.500 0.250
Si: 0.500 0.000 0.750
Si: 0.500 0.500 0.500